Record 1
Below is crystalline LaAlTlHg at its relaxed geometry, with properties calculated at the PBE level.

The structure belongs to space group F-43m (No. 216); the cell edges are 7.4716, 7.4716 and 7.4716 Å and the angles 90.00°, 90.00° and 90.00°. The asymmetric unit holds La at (0.0000, 0.0000, 0.0000), Al at (0.0000, 0.0000, 0.5000), Tl at (0.2500, 0.2500, 0.7500) and Hg at (0.2500, 0.2500, 0.2500).

As for the formation energy: -0.232 eV/atom. As for the uncorrected energy: -3.066 eV per atom. The volume is 26.07 A^3/atom. As for the theoretical density: 9.09 g/cm3.


Record 2
Below is crystalline LaAlHg2W at its relaxed geometry, with properties calculated at the PBE level.

The structure belongs to space group P4/mmm (No. 123); the cell edges are 4.9486, 4.9486 and 5.8410 Å and the angles 90.00°, 90.00° and 90.00°. The asymmetric unit holds La at (0.0000, 0.0000, 0.0000), Al at (0.0000, 0.0000, 0.5000), Hg at (0.0000, 0.5000, 0.5000) and W at (0.5000, 0.5000, 0.0000).

As for the formation energy: 1.144 eV/atom. As for the uncorrected energy: -3.302 eV per atom. The volume is 28.61 A^3/atom. As for the theoretical density: 8.72 g/cm3.


Record 3
Below is crystalline LaYAlHg at its relaxed geometry, with properties calculated at the PBE level.

The structure belongs to space group F-43m (No. 216); the cell edges are 7.5786, 7.5786 and 7.5786 Å and the angles 90.00°, 90.00° and 90.00°. The asymmetric unit holds La at (0.0000, 0.0000, 0.0000), Y at (0.0000, 0.0000, 0.5000), Al at (0.2500, 0.2500, 0.7500) and Hg at (0.2500, 0.2500, 0.2500).

As for the formation energy: -0.408 eV/atom. As for the uncorrected energy: -4.267 eV per atom. The volume is 27.21 A^3/atom. As for the theoretical density: 6.95 g/cm3.


Record 4
Below is crystalline La2Al3Zn4Hg at its relaxed geometry, with properties calculated at the PBE level.

The structure belongs to space group P-4m2 (No. 115); the cell edges are 4.3904, 4.3904 and 10.8329 Å and the angles 90.00°, 90.00° and 90.00°. The asymmetric unit holds La at (0.0000, 0.5000, 0.2405), Al at (0.0000, 0.5000, 0.8732), Al at (0.5000, 0.5000, 0.5000), Zn at (0.0000, 0.0000, 0.0000), Zn at (0.0000, 0.5000, 0.6428), Zn at (0.5000, 0.5000, 0.0000) and Hg at (0.0000, 0.0000, 0.5000).

As for the formation energy: -0.393 eV/atom. As for the uncorrected energy: -3.041 eV per atom. The volume is 20.88 A^3/atom. As for the theoretical density: 6.53 g/cm3.